## Bi2SeO5 (PBE-GGA)

Data for a relaxed Bi2SeO5 crystal.

Computed properties:
Its uncorrected formation energy is -1.016 eV per atom. Its density of states at the Fermi level is 0.00 states/eV per atom.

a b c (Å): 6.716 7.287 11.049
angles (deg): 90.00 103.40 90.00
Sites, in units of the cell vectors:
Bi: 0.759 0.896 0.020
Bi: 0.259 0.604 0.020
Bi: 0.558 0.919 0.340
Bi: 0.058 0.581 0.340
Bi: 0.942 0.419 0.660
Bi: 0.442 0.081 0.660
Bi: 0.741 0.396 0.980
Bi: 0.241 0.104 0.980
Se: 0.596 0.408 0.294
Se: 0.096 0.092 0.294
Se: 0.904 0.908 0.706
Se: 0.404 0.592 0.706
O: 0.978 0.180 0.057
O: 0.902 0.577 0.147
O: 0.478 0.320 0.057
O: 0.402 0.923 0.147
O: 0.880 0.950 0.274
O: 0.018 0.274 0.374
O: 0.380 0.550 0.274
O: 0.754 0.547 0.410
O: 0.518 0.226 0.374
O: 0.254 0.953 0.410
O: 0.746 0.047 0.590
O: 0.482 0.774 0.626
O: 0.246 0.453 0.590
O: 0.620 0.450 0.726
O: 0.982 0.726 0.626
O: 0.120 0.050 0.726
O: 0.598 0.077 0.853
O: 0.522 0.680 0.943
O: 0.098 0.423 0.853
O: 0.022 0.820 0.943